No. 1
A plane-wave DFT calculation with PBE-GGA was carried out for a relaxed structure of YTl2CrP.

The structure in extended XYZ format:
```
5
Lattice="5.4419 0.0000 0.0000 0.0000 5.4419 0.0000 0.0000 0.0000 4.4321" Properties=species:S:1:pos:R:3 pbc="T T T"
Y 0.0000 0.0000 0.0000
Tl 0.0000 2.7210 2.2160
Tl 2.7210 0.0000 2.2160
Cr 2.7210 2.7210 0.0000
P 2.7210 2.7210 2.2160
```

VASP energy	-24.6	eV per cell
D(E_F)	0.780	states/eV per atom

***

No. 2
A plane-wave DFT calculation with PBE-GGA was carried out for a relaxed structure of YHfSc3.

The structure in extended XYZ format:
```
10
Lattice="5.1685 0.0000 0.0000 0.0000 3.2499 0.0000 0.0000 0.0000 14.8504" Properties=species:S:1:pos:R:3 pbc="T T T"
Y 1.2921 0.0000 2.1641
Y 3.8764 0.0000 12.6862
Hf 1.2921 1.6249 5.3052
Hf 3.8764 1.6249 9.5452
Sc 1.2921 0.0000 8.1140
Sc 1.2921 0.0000 10.9576
Sc 1.2921 1.6249 13.9236
Sc 3.8764 0.0000 3.8928
Sc 3.8764 0.0000 6.7363
Sc 3.8764 1.6249 0.9267
```

VASP energy	-70.0	eV per cell
D(E_F)	1.737	states/eV per atom

***

No. 3
A plane-wave DFT calculation with PBE-GGA was carried out for a relaxed structure of SnGeI2.

The structure in extended XYZ format:
```
4
Lattice="1.9805 1.1435 10.4152 -1.9805 1.1435 10.4152 0.0000 -2.2869 10.4152" Properties=species:S:1:pos:R:3 pbc="T T T"
Sn 0.0000 0.0000 0.0000
Ge 0.0000 0.0000 15.6228
I 0.0000 0.0000 3.1924
I 0.0000 0.0000 28.0531
```

D(E_F)	0.861	states/eV per atom
formation energy without anion corrections	0.118	eV/atom

***

No. 4
A plane-wave DFT calculation with PBE-GGA was carried out for a relaxed structure of KP3.

The structure in extended XYZ format:
```
4
Lattice="3.3884 0.0000 0.0000 0.0000 4.4135 0.0000 0.0000 0.0000 5.9342" Properties=species:S:1:pos:R:3 pbc="T T T"
K 0.0000 0.0000 0.0000
P 1.6942 0.0000 2.9671
P 1.6942 2.2068 1.9190
P 1.6942 2.2068 4.0152
```

VASP energy	-17.0	eV per cell
D(E_F)	0.275	states/eV per atom

***

No. 5
A plane-wave DFT calculation with PBE-GGA was carried out for a relaxed structure of LiAsOs2.

The structure in extended XYZ format:
```
4
Lattice="3.0497 0.0000 0.0000 0.0000 3.0497 0.0000 0.0000 0.0000 5.7242" Properties=species:S:1:pos:R:3 pbc="T T T"
Li 0.0000 0.0000 0.0000
As 0.0000 0.0000 2.8621
Os 1.5248 1.5248 1.3775
Os 1.5248 1.5248 4.3467
```

VASP energy	-27.3	eV per cell
D(E_F)	0.978	states/eV per atom

***

No. 6
A plane-wave DFT calculation with PBE-GGA was carried out for a relaxed structure of PrSc2S.

The structure in extended XYZ format:
```
4
Lattice="1.7798 1.0276 8.9356 -1.7798 1.0276 8.9356 0.0000 -2.0552 8.9356" Properties=species:S:1:pos:R:3 pbc="T T T"
Pr 0.0000 0.0000 0.0000
Sc 0.0000 0.0000 5.9987
Sc 0.0000 0.0000 11.8998
S 0.0000 0.0000 22.3515
```

D(E_F)	1.112	states/eV per atom
formation energy without anion corrections	-0.890	eV/atom

***

No. 7
A plane-wave DFT calculation with PBE-GGA was carried out for a relaxed structure of AlSi2Se.

The structure in extended XYZ format:
```
4
Lattice="1.7820 -1.9652 0.0000 1.7820 1.9652 0.0000 0.0000 0.0000 10.5728" Properties=species:S:1:pos:R:3 pbc="T T T"
Al 0.0000 0.0000 0.0000
Si 1.7820 0.0000 2.0811
Si 1.7820 0.0000 8.4918
Se 0.0000 0.0000 5.2864
```

D(E_F)	0.350	states/eV per atom
formation energy without anion corrections	0.385	eV/atom

***

No. 8
A plane-wave DFT calculation with PBE-GGA was carried out for a relaxed structure of Re2HgCl.

The structure in extended XYZ format:
```
4
Lattice="3.0322 0.0000 0.0000 0.0000 2.9896 0.0000 -0.4863 0.0000 8.6481" Properties=species:S:1:pos:R:3 pbc="T T T"
Re 0.0000 0.0000 0.0000
Re 1.0315 1.4948 7.1707
Hg 1.5293 1.4948 2.1441
Cl 1.0338 0.0000 5.2136
```

D(E_F)	0.627	states/eV per atom
formation energy without anion corrections	0.182	eV/atom

***

No. 9
A plane-wave DFT calculation with PBE-GGA was carried out for a relaxed structure of Sr3AlTe.

The structure in extended XYZ format:
```
5
Lattice="6.0812 0.0000 0.0000 0.0000 6.0812 0.0000 0.0000 0.0000 6.0812" Properties=species:S:1:pos:R:3 pbc="T T T"
Sr 0.0000 0.0000 3.0406
Sr 0.0000 3.0406 0.0000
Sr 3.0406 0.0000 0.0000
Al 0.0000 0.0000 0.0000
Te 3.0406 3.0406 3.0406
```

D(E_F)	0.887	states/eV per atom
formation energy without anion corrections	-0.290	eV/atom

***

No. 10
A plane-wave DFT calculation with PBE-GGA was carried out for a relaxed structure of Fe2OsRh5.

The structure in extended XYZ format:
```
16
Lattice="5.3658 0.0000 0.0000 0.0000 10.7514 0.0000 0.0000 0.0000 3.8132" Properties=species:S:1:pos:R:3 pbc="T T T"
Fe 1.3338 1.3301 0.0000
Fe 1.3491 6.7058 0.0000
Fe 4.0167 4.0456 0.0000
Fe 4.0320 9.4213 0.0000
Os 0.0000 0.0000 1.9066
Os 2.6829 5.3757 1.9066
Rh 0.0000 5.3757 1.9066
Rh 0.0295 2.6543 1.9066
Rh 1.3118 9.4391 0.0000
Rh 1.3710 4.0634 0.0000
Rh 2.6534 8.0300 1.9066
Rh 2.6829 0.0000 1.9066
Rh 2.7124 2.7213 1.9066
Rh 3.9947 6.6880 0.0000
Rh 4.0539 1.3123 0.0000
Rh 5.3362 8.0970 1.9066
```

VASP energy	-129.7	eV per cell
D(E_F)	0.907	states/eV per atom

***

No. 11
A plane-wave DFT calculation with PBE-GGA was carried out for a relaxed structure of LiHfNiIr.

The structure in extended XYZ format:
```
4
Lattice="0.0000 3.0904 3.0904 3.0904 0.0000 3.0904 3.0904 3.0904 0.0000" Properties=species:S:1:pos:R:3 pbc="T T T"
Li 0.0000 0.0000 0.0000
Hf 3.0904 3.0904 3.0904
Ni 4.6356 4.6356 4.6356
Ir 1.5452 1.5452 1.5452
```

VASP energy	-28.5	eV per cell
D(E_F)	0.391	states/eV per atom

***

No. 12
A plane-wave DFT calculation with PBE-GGA was carried out for a relaxed structure of PaNb3.

The structure in extended XYZ format:
```
4
Lattice="-1.4391 4.8248 2.9068 1.4391 -4.8248 2.9068 1.4391 4.8248 -2.9068" Properties=species:S:1:pos:R:3 pbc="T T T"
Pa 0.0000 0.0000 0.0000
Nb 1.4391 2.4038 -1.4275
Nb 1.4391 0.0000 2.8270
Nb 0.0000 2.4211 1.4793
```

VASP energy	-38.7	eV per cell
D(E_F)	1.385	states/eV per atom